# 1
# NbTlAg2F (PBE, optimized geometry)
data_NbTlAg2F
_space_group_name_H-M_alt 'P 4/m m m'
_space_group_IT_number 123
_space_group_name_Hall '-P 4 2'
_cell_length_a 4.493
_cell_length_b 4.493
_cell_length_c 5.048
_cell_angle_alpha 90.00
_cell_angle_beta 90.00
_cell_angle_gamma 90.00
loop_
_atom_site_label
_atom_site_type_symbol
_atom_site_fract_x
_atom_site_fract_y
_atom_site_fract_z
Nb1 Nb 0.000 0.000 0.000
Tl1 Tl 0.500 0.500 0.000
Ag1 Ag 0.000 0.500 0.500
F1 F 0.500 0.500 0.500
# - N(E_F) (states/eV/atom) = 1.0580
# - E_tot (eV/atom) = -3.65
# - ΔE_f (raw) (meV per atom) = 354

# 2
# Nd4Ag2F (PBE, optimized geometry)
data_Nd4Ag2F
_space_group_name_H-M_alt 'I 4/m m m'
_space_group_IT_number 139
_space_group_name_Hall '-I 4 2'
_cell_length_a 4.959
_cell_length_b 4.959
_cell_length_c 15.420
_cell_angle_alpha 90.00
_cell_angle_beta 90.00
_cell_angle_gamma 90.00
loop_
_atom_site_label
_atom_site_type_symbol
_atom_site_fract_x
_atom_site_fract_y
_atom_site_fract_z
Nd1 Nd 0.000 0.000 0.190
Nd2 Nd 0.000 0.500 0.000
Ag1 Ag 0.000 0.000 0.376
F1 F 0.000 0.000 0.000
# - N(E_F) (states/eV/atom) = 0.7235
# - E_tot (eV/atom) = -4.56
# - ΔE_f (raw) (meV per atom) = -751

# 3
# Nd2AgF (PBE, optimized geometry)
data_Nd2AgF
_space_group_name_H-M_alt 'R -3 m'
_space_group_IT_number 166
_space_group_name_Hall '-R 3 2"'
_cell_length_a 4.1286
_cell_length_b 4.1286
_cell_length_c 19.4218
_cell_angle_alpha 90.00
_cell_angle_beta 90.00
_cell_angle_gamma 120.00
loop_
_atom_site_label
_atom_site_type_symbol
_atom_site_fract_x
_atom_site_fract_y
_atom_site_fract_z
Nd1 Nd 0.0000 0.0000 0.2370
Ag1 Ag 0.0000 0.0000 0.0000
F1 F 0.0000 0.0000 0.5000
# - N(E_F) (states/eV/atom) = 0.7077
# - E_tot (eV/atom) = -4.75
# - ΔE_f (raw) (meV per atom) = -1186

# 4
# NdAg6F12 (PBE, optimized geometry)
data_NdAg6F12
_space_group_name_H-M_alt 'R -3'
_space_group_IT_number 148
_space_group_name_Hall '-R 3'
_cell_length_a 10.4954
_cell_length_b 10.4954
_cell_length_c 9.8852
_cell_angle_alpha 90.00
_cell_angle_beta 90.00
_cell_angle_gamma 120.00
loop_
_atom_site_label
_atom_site_type_symbol
_atom_site_fract_x
_atom_site_fract_y
_atom_site_fract_z
Nd1 Nd 0.0000 0.0000 0.0000
Ag1 Ag 0.0266 0.7779 0.6451
F1 F 0.0031 0.8196 0.8726
F2 F 0.0054 0.7927 0.3845
# - N(E_F) (states/eV/atom) = 0.4746
# - E_tot (eV/atom) = -4.02
# - ΔE_f (raw) (meV per atom) = -1684

# 5
# Rb2NdAgF6 (PBE, optimized geometry)
data_Rb2NdAgF6
_space_group_name_H-M_alt 'F m -3 m'
_space_group_IT_number 225
_space_group_name_Hall '-F 4 2 3'
_cell_length_a 9.454
_cell_length_b 9.454
_cell_length_c 9.454
_cell_angle_alpha 90.00
_cell_angle_beta 90.00
_cell_angle_gamma 90.00
loop_
_atom_site_label
_atom_site_type_symbol
_atom_site_fract_x
_atom_site_fract_y
_atom_site_fract_z
Rb1 Rb 0.250 0.250 0.250
Nd1 Nd 0.000 0.000 0.000
Ag1 Ag 0.000 0.000 0.500
F1 F 0.000 0.000 0.240
# - N(E_F) (states/eV/atom) = 0.0000
# - E_tot (eV/atom) = -4.96
# - energy above the lowest structure with this stoichiometry (meV/atom) = 26
# - ΔE_f (raw) (meV per atom) = -2880

# 6
# Rb2NdAgF6 (PBE, optimized geometry)
data_Rb2NdAgF6
_space_group_name_H-M_alt 'P 1 21/c 1'
_space_group_IT_number 14
_space_group_name_Hall '-P 2ybc'
_cell_length_a 6.598
_cell_length_b 6.764
_cell_length_c 11.223
_cell_angle_alpha 90.00
_cell_angle_beta 125.37
_cell_angle_gamma 90.00
loop_
_atom_site_label
_atom_site_type_symbol
_atom_site_fract_x
_atom_site_fract_y
_atom_site_fract_z
Rb1 Rb 0.238 0.044 0.249
Nd1 Nd 0.500 0.000 0.000
Ag1 Ag 0.000 0.000 0.500
F1 F 0.180 0.193 0.959
F2 F 0.261 0.725 0.951
F3 F 0.344 0.034 0.758
# - N(E_F) (states/eV/atom) = 0.0000
# - E_tot (eV/atom) = -4.98
# - energy above the lowest structure with this stoichiometry (meV/atom) = 0
# - ΔE_f (raw) (meV per atom) = -2906

# 7
# RbNdAgF6 (PBE, optimized geometry)
data_RbNdAgF6
_space_group_name_H-M_alt 'I m m a'
_space_group_IT_number 74
_space_group_name_Hall '-I 2b 2'
_cell_length_a 8.012
_cell_length_b 8.592
_cell_length_c 12.244
_cell_angle_alpha 90.00
_cell_angle_beta 90.00
_cell_angle_gamma 90.00
loop_
_atom_site_label
_atom_site_type_symbol
_atom_site_fract_x
_atom_site_fract_y
_atom_site_fract_z
Rb1 Rb 0.000 0.250 0.014
Nd1 Nd 0.000 0.000 0.500
Ag1 Ag 0.250 0.250 0.750
F1 F 0.000 0.250 0.430
F2 F 0.000 0.250 0.784
F3 F 0.222 0.073 0.606
# - N(E_F) (states/eV/atom) = 0.5257
# - E_tot (eV/atom) = -4.94
# - ΔE_f (raw) (meV per atom) = -2740

# 8
# NdTl2AgF6 (PBE, optimized geometry)
data_NdTl2AgF6
_space_group_name_H-M_alt 'P 1 21/c 1'
_space_group_IT_number 14
_space_group_name_Hall '-P 2ybc'
_cell_length_a 6.448
_cell_length_b 6.623
_cell_length_c 11.319
_cell_angle_alpha 90.00
_cell_angle_beta 123.36
_cell_angle_gamma 90.00
loop_
_atom_site_label
_atom_site_type_symbol
_atom_site_fract_x
_atom_site_fract_y
_atom_site_fract_z
Nd1 Nd 0.000 0.000 0.000
Tl1 Tl 0.268 0.043 0.753
Ag1 Ag 0.500 0.000 0.500
F1 F 0.133 0.037 0.233
F2 F 0.242 0.717 0.054
F3 F 0.332 0.191 0.042
# - N(E_F) (states/eV/atom) = 0.0000
# - E_tot (eV/atom) = -4.86
# - ΔE_f (raw) (meV per atom) = -2497

# 9
# NdZnAgF6 (PBE, optimized geometry)
data_NdZnAgF6
_space_group_name_H-M_alt 'P 42 n m'
_space_group_IT_number 102
_space_group_name_Hall 'P 4n -2n'
_cell_length_a 5.292
_cell_length_b 5.292
_cell_length_c 10.521
_cell_angle_alpha 90.00
_cell_angle_beta 90.00
_cell_angle_gamma 90.00
loop_
_atom_site_label
_atom_site_type_symbol
_atom_site_fract_x
_atom_site_fract_y
_atom_site_fract_z
Nd1 Nd 0.000 0.000 0.000
Zn1 Zn 0.000 0.000 0.662
Ag1 Ag 0.000 0.000 0.328
F1 F 0.177 0.177 0.818
F2 F 0.195 0.195 0.522
F3 F 0.226 0.226 0.147
# - N(E_F) (states/eV/atom) = 0.0000
# - E_tot (eV/atom) = -4.98
# - ΔE_f (raw) (meV per atom) = -2746